DFT (GGA-PBE) results for a relaxed structure of YTa2Hg.

DFT formation energy	131	kJ/mol of formula units
spin magnetization	0.00	μB/f.u.

Unit cell a=5.2336 b=5.2336 c=5.7296 alpha=82.91 beta=82.91 gamma=33.74
Closest atoms and distances in Å follow each position.
Positions (direct):
Hg 0.2592 0.2592 0.2525  3 Y 2.97-3.08, 2 Hg 3.04, 5 Ta 3.05-3.29
Ta 0.9953 0.9953 0.9661  5 Ta 2.88-3.04, 2 Hg 3.10, 2 Y 3.14
Ta 0.7369 0.7369 0.7977  5 Ta 2.88-3.04, 2 Hg 3.05, 1 Y 3.09
Y 0.5085 0.5085 0.4837  3 Hg 2.97-3.08, 2 Y 3.04, 3 Ta 3.09-3.14